1.
First-principles (PBE) data for a geometry-optimized GeSbTe2I structure, as listed in Alexandria.

The uncorrected formation energy comes out at 5.47 eV/f.u. The volume is 38.6 Å³/atom.

The structure belongs to space group P4/mmm (No. 123); the cell edges are 5.753, 5.753 and 5.839 Å and the angles 90.00°, 90.00° and 90.00°. The inequivalent atoms are Ge at (0.000, 0.000, 0.000), Sb at (0.500, 0.500, 0.000), Te at (0.000, 0.500, 0.500) and I at (0.500, 0.500, 0.500).


2.
First-principles (PBE) data for a geometry-optimized Ge2SbTeI structure, as listed in Alexandria.

The uncorrected formation energy comes out at 5.51 eV/f.u. The volume is 35.2 Å³/atom.

The structure belongs to space group P4/mmm (No. 123); the cell edges are 5.435, 5.435 and 5.963 Å and the angles 90.00°, 90.00° and 90.00°. The inequivalent atoms are Ge at (0.000, 0.500, 0.000), Sb at (0.000, 0.000, 0.500), Te at (0.500, 0.500, 0.500) and I at (0.000, 0.000, 0.000).


3.
First-principles (PBE) data for a geometry-optimized GeSbTe2I structure, as listed in Alexandria.

The uncorrected formation energy comes out at 2.26 eV/f.u. The volume is 33.0 Å³/atom.

The structure belongs to space group P4/mmm (No. 123); the cell edges are 5.492, 5.492 and 5.468 Å and the angles 90.00°, 90.00° and 90.00°. The inequivalent atoms are Ge at (0.000, 0.000, 0.000), Sb at (0.500, 0.500, 0.500), Te at (0.000, 0.500, 0.000) and I at (0.000, 0.000, 0.500).